# 1
# TlCdS

A geometry-optimized TlCdS structure (PBE, Alexandria).

* total energy: -2.72 eV per atom
* SG: P3m1
* total moment: 0.0 μB/cell

```
TlCdS
1.0
5.4626 0.0000 0.0000
0.0000 4.0634 0.0000
0.0000 -2.0317 3.5190
Tl Cd S
1 1 1
direct
0.6729 0.6667 0.3333
0.2722 0.3333 0.6667
0.0550 0.0000 0.0000
```

***

# 2
# TlCd3S

A geometry-optimized TlCd3S structure (PBE, Alexandria).

* excess energy over the best structure of this formula in the dataset: 0 meV per atom
* total energy: -1.61 eV per atom
* SG: Pm-3m
* total moment: 0.0 μB/cell

```
TlCd3S
1.0
5.2836 0.0000 0.0000
0.0000 5.2836 0.0000
0.0000 0.0000 5.2836
S Cd Tl
1 3 1
direct
0.0000 0.0000 0.0000
0.0000 0.5000 0.0000
0.5000 0.0000 0.0000
0.0000 0.0000 0.5000
0.5000 0.5000 0.5000
```